(1)
GdN2, optimized geometry, DFT PBE; electronic total energy = -6.09 eV per atom; total moment = 6.001 Bohr magnetons per cell; crystal system = cubic
1.0
0.0000 5.1503 5.1503
5.1503 0.0000 5.1503
5.1503 5.1503 0.0000
Gd N
2 4
Direct
0.1250 0.1250 0.1250
0.8750 0.8750 0.8750
0.0000 0.0000 0.0000
0.0000 0.0000 0.5000
0.0000 0.5000 0.0000
0.5000 0.0000 0.0000

---

(2)
TbTm2Sn3PdPt2, optimized geometry, DFT PBE; electronic total energy = -5.81 eV per atom; total moment = 0.001 Bohr magnetons per cell; crystal system = orthorhombic
1.0
3.9877 0.0000 0.0000
0.0000 6.5213 3.7426
0.0000 -6.5213 3.7426
Tb Tm Sn Pd Pt
1 2 3 1 2
Direct
0.0000 0.0000 0.0000
0.0000 0.4085 0.8165
0.0000 0.8165 0.4085
0.5000 0.1504 0.4099
0.5000 0.4099 0.1504
0.5000 0.6664 0.6664
0.0000 0.4106 0.4106
0.5000 0.0762 0.7393
0.5000 0.7393 0.0762

---

(3)
HfSnAsO, optimized geometry, DFT PBE; electronic total energy = -6.60 eV per atom; total moment = 0.004 Bohr magnetons per cell; crystal system = tetragonal
1.0
4.4031 0.0000 0.0000
0.0000 4.4031 0.0000
0.0000 0.0000 7.7743
Hf Sn As O
2 2 2 2
Direct
0.2500 0.7500 0.0000
0.7500 0.2500 0.0000
0.2500 0.2500 0.3887
0.7500 0.7500 0.6113
0.2500 0.2500 0.8089
0.7500 0.7500 0.1911
0.2500 0.7500 0.5000
0.7500 0.2500 0.5000